No. 1
VASP calculation (meta-GGA SCAN) on a PBEsol-optimized structure of Tb10B7C10.

Calculated values
The density of states at the Fermi level is 4.48 states/eV/f.u. The calculation puts the formation energy from the elements at -546.1 meV/atom. Its volume is 2963.4 Å³ per cell.

a = 11.3824 Å, b = 11.2509 Å, c = 23.3993 Å
α = 90.00°, β = 98.53°, γ = 90.00°
Closest atoms and distances in Å follow each position.
Space group C2/c (No. 15)
One atom of each set of equivalent atoms:
Tb1 0.0048 0.0728 0.0791 [8 per cell]  5 C 2.49-2.61, 2 B 2.67-2.77
Tb2 0.0359 0.4289 0.6829 [8 per cell]  5 C 2.33-2.61, 1 B 2.58
Tb3 0.0745 0.1216 0.8178 [8 per cell]  4 C 2.30-2.53
Tb4 0.1012 0.2184 0.5793 [8 per cell]  5 C 2.48-2.59, 1 B 2.64
Tb5 0.1029 0.3750 0.4219 [8 per cell]  5 C 2.51-2.62
Tb6 0.1333 0.2792 0.1839 [8 per cell]  2 C 2.26-2.47
Tb7 0.1733 0.1700 0.3179 [8 per cell]  5 C 2.35-2.59, 1 B 2.59
Tb8 0.1959 0.4702 0.0768 [8 per cell]  5 C 2.43-2.57, 1 B 2.64
Tb9 0.2064 0.3249 0.9210 [8 per cell]  5 C 2.49-2.66, 2 B 2.64-2.77
Tb10 0.2349 0.0249 0.6962 [8 per cell]  5 C 2.44-2.55
B1 0.0000 0.0706 0.2500 [4 per cell]  2 C 1.47
B2 0.0000 0.3794 0.2500 [4 per cell]  2 C 1.47
B3 0.0304 0.3866 0.9769 [8 per cell]  1 C 1.43
B4 0.0813 0.2705 0.0211 [8 per cell]  1 C 1.51
B5 0.1193 0.1251 0.9812 [8 per cell]  1 C 1.49
B6 0.1545 0.2721 0.7484 [8 per cell]  2 C 1.47
B7 0.1828 0.0228 0.5246 [8 per cell]  1 C 1.53
B8 0.2050 0.1383 0.4787 [8 per cell]  1 C 1.44
C1 0.0017 0.4230 0.9178 [8 per cell]  1 B 1.43
C2 0.0328 0.0758 0.1918 [8 per cell]  1 B 1.47
C3 0.0665 0.3738 0.3087 [8 per cell]  1 B 1.47
C4 0.0979 0.2731 0.0864 [8 per cell]  1 B 1.51
C5 0.0992 0.1244 0.9170 [8 per cell]  1 B 1.49
C6 0.1325 0.2256 0.6891 [8 per cell]  1 B 1.47
C7 0.1645 0.3244 0.8063 [8 per cell]  1 B 1.47
C8 0.1990 0.1731 0.4192 [8 per cell]  1 B 1.44
C9 0.2054 0.0246 0.5907 [8 per cell]  1 B 1.53
C10 0.2300 0.4751 0.1820 [8 per cell]  5 Tb 2.43-2.48

No. 2
VASP calculation (meta-GGA SCAN) on a PBEsol-optimized structure of TbB2C2.

Calculated values
The density of states at the Fermi level is 0.79 states/eV/f.u. The calculation puts the formation energy from the elements at -552.7 meV/atom. Its volume is 100.3 Å³ per cell.

a = 5.3364 Å, b = 5.3364 Å, c = 3.5224 Å
α = 90.00°, β = 90.00°, γ = 90.00°
Closest atoms and distances in Å follow each position.
Space group P4/mbm (No. 127)
One atom of each set of equivalent atoms:
Tb1 0.0000 0.0000 0.0000 [2 per cell]  8 C 2.66, 8 B 2.72
B1 0.1362 0.3638 0.5000 [4 per cell]  3 C 1.52-1.60
C1 0.1622 0.6622 0.5000 [4 per cell]  3 B 1.52-1.60

No. 3
VASP calculation (meta-GGA SCAN) on a PBEsol-optimized structure of TcBC3.

Calculated values
The density of states at the Fermi level is 2.48 states/eV/f.u. The calculation puts the formation energy from the elements at 2752.2 meV/atom. Its volume is 61.9 Å³ per cell.

a = 3.9562 Å, b = 3.9562 Å, c = 3.9562 Å
α = 90.00°, β = 90.00°, γ = 90.00°
Closest atoms and distances in Å follow each position.
Space group Pm-3m (No. 221)
One atom of each set of equivalent atoms:
Tc1 0.0000 0.0000 0.0000 [1 per cell]  6 C 1.98
B1 0.5000 0.5000 0.5000 [1 per cell]  12 C 2.80
C1 0.0000 0.0000 0.5000 [3 per cell]  2 Tc 1.98

Q: Which value of formation energy from the elements does entry 1 give?
A: -546.1 meV/atom

Q: Look up the formation energy from the elements of the first one.
A: -546.1 meV/atom

Q: Among the records above, which one has the lowest formation energy from the elements?
A: TbB2C2